(1)
{"formula": "Sr4Li3Ga2", "functional": "PBE", "state": "relaxed", "total_energy_ev_per_cell": -19.933, "formation_enthalpy_0k_ev_per_atom": -0.16, "lattice_angstrom": [[0.440, 3.427, -2.772], [1.389, -4.983, -5.941], [-8.925, -0.351, 1.689]], "species": ["Sr", "Sr", "Sr", "Sr", "Li", "Li", "Li", "Ga", "Ga"], "fractional_positions": [[0.234, 0.705, 0.469], [0.766, 0.295, 0.531], [0.573, 0.854, 0.145], [0.427, 0.146, 0.855], [0.095, 0.241, 0.190], [0.905, 0.759, 0.810], [0.000, 0.500, 0.000], [0.400, 0.540, 0.800], [0.600, 0.460, 0.200]]}

=====

(2)
{"formula": "NaPd3Pb3", "functional": "PBE", "state": "relaxed", "polymorph_energy_ev_per_atom": 0.273, "total_energy_ev_per_cell": -55.258, "formation_enthalpy_0k_ev_per_atom": 0.06, "lattice_angstrom": [[7.609, 0.000, 0.000], [0.000, 7.609, 0.000], [0.000, 0.000, 7.609]], "species": ["Pb", "Pb", "Pb", "Pb", "Pb", "Pb", "Na", "Na", "Pd", "Pd", "Pd", "Pd", "Pd", "Pd"], "fractional_positions": [[0.250, 0.000, 0.500], [0.000, 0.500, 0.250], [0.500, 0.750, 0.000], [0.750, 0.000, 0.500], [0.000, 0.500, 0.750], [0.500, 0.250, 0.000], [0.500, 0.500, 0.500], [0.000, 0.000, 0.000], [0.000, 0.250, 0.500], [0.000, 0.750, 0.500], [0.500, 0.000, 0.750], [0.750, 0.500, 0.000], [0.500, 0.000, 0.250], [0.250, 0.500, 0.000]]}

=====

(3)
{"formula": "Ce2Pm3ThAs6", "functional": "PBE", "state": "relaxed", "total_energy_ev_per_cell": -79.324, "formation_enthalpy_0k_ev_per_atom": -1.49, "lattice_angstrom": [[-0.700, -4.515, -5.744], [3.482, -2.268, 6.051], [-6.904, -0.074, 2.462]], "species": ["Ce", "Ce", "Pm", "Pm", "Pm", "Th", "As", "As", "As", "As", "As", "As"], "fractional_positions": [[0.333, 0.667, 0.000], [0.667, 0.333, 0.000], [0.167, 0.833, 0.500], [0.833, 0.167, 0.500], [0.500, 0.500, 0.500], [0.000, 0.000, 0.000], [0.918, 0.583, 0.753], [0.748, 0.748, 0.247], [0.082, 0.417, 0.247], [0.583, 0.918, 0.753], [0.252, 0.252, 0.753], [0.417, 0.082, 0.247]]}